This record from the Alexandria database describes Hf2VBiO after structural relaxation. The functional is GGA+U.

Lattice parameters (Å, degrees): 5.3044 3.6745 5.3044 90.00 90.00 90.00
Last column: nearest neighbours and their distance in Å.
Atoms (fractional coordinates):
1 Hf 0.0000 0.0000 0.5000  2 V 2.65
2 Hf 0.5000 0.0000 0.0000  2 V 2.65
3 Bi 0.5000 0.5000 0.5000  8 Hf 3.23
4 O 0.0000 0.5000 0.0000  2 V 1.84
5 V 0.0000 0.0000 0.0000  2 O 1.84

Output
SG: P4/mmm
Total magnetic moment (Bohr magnetons per cell): 1.5
Total DFT energy (no corrections) (eV per cell): -35.5